Here is crystalline La2HfAsSe at its relaxed geometry from Alexandria via LeMat-Bulk. Energies are from PBE.

Results
- formation energy without anion corrections (eV/atom) = -0.23
- DOS(E_F) (states/eV/cell) = 2.6
- symmetry = P4/mmm
- energy (eV per atom) = -5.82
- V (Å³ per cell) = 163.81

abc: 5.7948 4.8781 5.7948
angles: 90.00 90.00 90.00
Last column: nearest neighbours and their distance in Å.
Atoms (fractional coordinates):
Hf 0.0000 0.0000 0.0000  2 As 2.44
La 0.0000 0.0000 0.5000  2 Hf 2.90
Se 0.5000 0.5000 0.5000  8 La 3.79, 4 As 4.10
La 0.5000 0.0000 0.0000  2 Hf 2.90
As 0.0000 0.5000 0.0000  2 Hf 2.44

=====

Here is crystalline AcZnAsBr at its relaxed geometry from Alexandria via LeMat-Bulk. Energies are from PBE.

Results
- formation energy without anion corrections (eV/atom) = -1.06
- DOS(E_F) (states/eV/cell) = 3.2
- symmetry = R-3m
- energy (eV per atom) = -3.99
- V (Å³ per cell) = 248.68

abc: 4.6025 4.6025 13.8137
angles: 80.41 80.41 60.00
Last column: nearest neighbours and their distance in Å.
Atoms (fractional coordinates):
Ac 0.9209 0.9209 0.2372  3 As 3.17, 3 Br 3.22, 3 Zn 3.45
Zn 0.3082 0.3082 0.0754  4 As 2.51-2.70
As 0.3698 0.3698 0.8905  4 Zn 2.51-2.70
Br 0.2094 0.2094 0.3718  3 Ac 3.22
Br 0.7906 0.7906 0.6282  3 Ac 3.22
Ac 0.0791 0.0791 0.7628  3 As 3.17, 3 Br 3.22, 3 Zn 3.45
As 0.6302 0.6302 0.1095  4 Zn 2.51-2.70
Zn 0.6918 0.6918 0.9246  4 As 2.51-2.70

=====

Here is crystalline TbTmAlPd at its relaxed geometry from Alexandria via LeMat-Bulk. Energies are from PBE.

Results
- DOS(E_F) (states/eV/cell) = 3.5
- energy relative to the elements (meV/atom) = -625
- symmetry = Amm2
- energy (eV per atom) = -5.13
- V (Å³ per cell) = 93.16

abc: 3.7532 4.4666 5.8657
angles: 90.00 108.66 90.00
Last column: nearest neighbours and their distance in Å.
Atoms (fractional coordinates):
Tb 0.8520 0.5000 0.7040  4 Pd 3.04, 3 Al 3.08-3.11
Pd 0.4306 0.0000 0.8612  2 Al 2.73, 2 Tm 3.04, 4 Tb 3.04
Tm 0.1452 0.0000 0.2905  4 Al 3.03, 3 Pd 3.04-3.17
Al 0.5722 0.5000 0.1443  2 Pd 2.73, 4 Tm 3.03

=====

Here is crystalline PrSm2Tl2Zn2 at its relaxed geometry from Alexandria via LeMat-Bulk. Energies are from PBE.

Results
- DOS(E_F) (states/eV/cell) = 3.8
- energy relative to the elements (meV/atom) = -194
- symmetry = R-3m
- energy (eV per atom) = -3.27
- V (Å³ per cell) = 186.99

abc: 4.8048 4.8048 9.7556
angles: 75.74 75.74 60.00
Last column: nearest neighbours and their distance in Å.
Atoms (fractional coordinates):
Tl 0.7349 0.7349 0.7953  3 Zn 2.80
Sm 0.1297 0.1297 0.6109  3 Zn 3.09, 3 Tl 3.27
Sm 0.8703 0.8703 0.3891  3 Zn 3.09, 3 Tl 3.27
Zn 0.5851 0.5851 0.2447  3 Tl 2.80, 3 Sm 3.09
Zn 0.4149 0.4149 0.7553  3 Tl 2.80, 3 Sm 3.09
Tl 0.2651 0.2651 0.2047  3 Zn 2.80
Pr 0.0000 0.0000 0.0000  6 Tl 3.37, 6 Zn 3.60, 2 Sm 3.64

=====

Here is crystalline Rb2CuSe2 at its relaxed geometry from Alexandria via LeMat-Bulk. Energies are from PBE.

Results
- formation energy without anion corrections (eV/atom) = -0.73
- DOS(E_F) (states/eV/cell) = 7.7
- symmetry = Cmc2_1
- energy (eV per atom) = -3.33
- V (Å³ per cell) = 331.65

abc: 4.0208 7.1374 11.7302
angles: 90.00 99.87 90.00
Last column: nearest neighbours and their distance in Å.
Atoms (fractional coordinates):
Rb 0.8017 0.0274 0.6033  6 Se 3.53-3.64, 3 Cu 3.62-3.88
Cu 0.3615 0.4023 0.7230  3 Se 2.30-2.38
Se 0.5771 0.6491 0.1542  1 Cu 2.30
Rb 0.9582 0.7545 0.9164  5 Se 3.48-3.56
Rb 0.0418 0.2545 0.0836  5 Se 3.48-3.56
Rb 0.1983 0.5274 0.3967  6 Se 3.53-3.64, 3 Cu 3.62-3.88
Se 0.8240 0.5323 0.6480  2 Cu 2.38
Se 0.4229 0.1491 0.8458  1 Cu 2.30
Se 0.1760 0.0323 0.3520  2 Cu 2.38
Cu 0.6385 0.9023 0.2770  3 Se 2.30-2.38

=====

Here is crystalline LiTiGe2H at its relaxed geometry from Alexandria via LeMat-Bulk. Energies are from PBE.

Results
- DOS(E_F) (states/eV/cell) = 2.1
- symmetry = P4/mmm
- energy (eV per atom) = -4.28
- V (Å³ per cell) = 69.81

abc: 4.9117 2.8938 4.9117
angles: 90.00 90.00 90.00
Last column: nearest neighbours and their distance in Å.
Atoms (fractional coordinates):
H 0.0000 0.5000 0.0000  2 Li 1.45
Ge 0.5000 0.0000 0.0000  2 Li 2.46
Ti 0.5000 0.5000 0.5000  8 Ge 2.85, 2 Ti 2.89
Ge 0.0000 0.0000 0.5000  2 Li 2.46
Li 0.0000 0.0000 0.0000  2 H 1.45

=====

Here is crystalline Zr3Si4Ni2 at its relaxed geometry from Alexandria via LeMat-Bulk. Energies are from PBE.

Results
- formation energy without anion corrections (eV/atom) = -0.84
- DOS(E_F) (states/eV/cell) = 3.5
- symmetry = C2/m
- energy (eV per atom) = -7.39
- V (Å³ per cell) = 140.33

abc: 3.9413 5.2573 7.7170
angles: 107.39 90.00 112.01
Last column: nearest neighbours and their distance in Å.
Atoms (fractional coordinates):
Zr 0.3712 0.7423 0.3064  8 Si 2.74-3.07, 4 Ni 2.84-2.94
Si 0.9043 0.8086 0.5822  3 Ni 2.26-2.48
Si 0.2806 0.5611 0.9310  1 Ni 2.24, 2 Si 2.40
Zr 0.6288 0.2577 0.6936  8 Si 2.74-3.07, 4 Ni 2.84-2.94
Ni 0.6683 0.3366 0.3316  4 Si 2.24-2.48
Si 0.0957 0.1914 0.4178  3 Ni 2.26-2.48
Ni 0.3317 0.6634 0.6684  4 Si 2.24-2.48
Zr 0.0000 0.0000 0.0000  8 Si 2.83-3.05
Si 0.7194 0.4389 0.0690  1 Ni 2.24, 2 Si 2.40

=====

Here is crystalline CoTcNi2 at its relaxed geometry from Alexandria via LeMat-Bulk. Energies are from PBE.

Results
- DOS(E_F) (states/eV/cell) = 7.7
- energy relative to the elements (meV/atom) = 231
- symmetry = Fm-3m
- energy (eV per atom) = -7.03
- V (Å³ per cell) = 46.96

abc: 4.0496 4.0496 4.0496
angles: 60.00 60.00 60.00
Last column: nearest neighbours and their distance in Å.
Atoms (fractional coordinates):
Tc 0.5000 0.5000 0.5000  8 Ni 2.48
Ni 0.7500 0.7500 0.7500  4 Co 2.48, 4 Tc 2.48
Ni 0.2500 0.2500 0.2500  4 Tc 2.48, 4 Co 2.48
Co 0.0000 0.0000 0.0000  8 Ni 2.48